Below is a relaxed structure of AcTbPaO6, with properties calculated at the PBE level.

Structure (extended XYZ):
```
18
Lattice="5.291 0.000 0.000 0.000 5.291 0.000 0.000 0.000 11.041" Properties=species:S:1:pos:R:3 pbc="T T T"
Ac 0.000 0.000 0.000
Ac 2.646 2.646 5.520
Tb 0.000 0.000 3.650
Tb 2.646 2.646 9.170
Pa 0.000 0.000 7.351
Pa 2.646 2.646 1.831
O 0.924 0.924 5.578
O 1.022 1.022 8.960
O 1.098 1.098 1.945
O 1.548 3.744 7.465
O 1.623 3.668 3.439
O 1.722 3.569 0.058
O 3.569 1.722 0.058
O 3.668 1.623 3.439
O 3.744 1.548 7.465
O 4.193 4.193 1.945
O 4.269 4.269 8.960
O 4.367 4.367 5.578
```

M_tot: 0.07 μB per atom
SG: P4_2nm
formation energy without anion corrections: -3.24 eV per atom
electronic total energy: -8.5753 eV/atom